DFT (PBE-GGA) results for an optimized crystal structure of TcPbCl2.

It has space group Pm (No. 6), with a = 4.6439 Å, b = 3.2763 Å, c = 7.1467 Å, α = 90.00°, β = 104.07° and γ = 90.00°. The inequivalent atoms are Tc at (0.0000, 0.0000, 0.0000), Pb at (0.5269, 0.5000, 0.0571), Cl at (0.2391, 0.0000, 0.3372) and Cl at (0.9024, 0.5000, 0.7419).

As for the energy relative to the elements, uncorrected: -0.121 eV per atom. The calculation puts the total energy at -4.563 eV/atom. For the polymorph energy (0 for the lowest one), the calculation gives 0.048 eV/atom.